[1]
# Ba2NaTl3 | Alexandria | PBE-GGA | relaxed
data_Ba2NaTl3
_symmetry_space_group_name_H-M 'C 1 m 1'
_symmetry_Int_Tables_number 8
_symmetry_space_group_name_Hall 'C -2y'
_cell_length_a 12.565
_cell_length_b 5.427
_cell_length_c 8.613
_cell_angle_alpha 90.00
_cell_angle_beta 131.80
_cell_angle_gamma 90.00
loop_
_atom_site_label
_atom_site_type_symbol
_atom_site_fract_x
_atom_site_fract_y
_atom_site_fract_z
_atom_site_occupancy
Ba1 Ba 0.000 0.000 0.000 1
Ba2 Ba 0.079 0.000 0.573 1
Na1 Na 0.202 0.500 0.015 1
Tl1 Tl 0.198 0.500 0.408 1
Tl2 Tl 0.370 0.000 0.164 1
Tl3 Tl 0.378 0.000 0.560 1
# DFT total energy: -28.17 eV for the cell shown
# density: 6.91 g/cm3
# distance to the lowest polymorph of the same formula: 0.0 kJ per mole of atoms

***

[2]
# Ba2NaTl | Alexandria | PBE-GGA | relaxed
data_Ba2NaTl
_symmetry_space_group_name_H-M 'P 4/m m m'
_symmetry_Int_Tables_number 123
_symmetry_space_group_name_Hall '-P 4 2'
_cell_length_a 4.335
_cell_length_b 4.335
_cell_length_c 9.604
_cell_angle_alpha 90.00
_cell_angle_beta 90.00
_cell_angle_gamma 90.00
loop_
_atom_site_label
_atom_site_type_symbol
_atom_site_fract_x
_atom_site_fract_y
_atom_site_fract_z
_atom_site_occupancy
Ba1 Ba 0.000 0.000 0.211 1
Na1 Na 0.500 0.500 0.500 1
Tl1 Tl 0.500 0.500 0.000 1
# DFT total energy: -8.51 eV for the cell shown
# density: 4.62 g/cm3

***

[3]
# BaNa6Tl6 | Alexandria | PBE-GGA | relaxed
data_BaNa6Tl6
_symmetry_space_group_name_H-M 'I m m m'
_symmetry_Int_Tables_number 71
_symmetry_space_group_name_Hall '-I 2 2'
_cell_length_a 6.465
_cell_length_b 10.962
_cell_length_c 11.180
_cell_angle_alpha 90.00
_cell_angle_beta 90.00
_cell_angle_gamma 90.00
loop_
_atom_site_label
_atom_site_type_symbol
_atom_site_fract_x
_atom_site_fract_y
_atom_site_fract_z
_atom_site_occupancy
Ba1 Ba 0.000 0.000 0.000 1
Na1 Na 0.000 0.500 0.273 1
Na2 Na 0.250 0.250 0.250 1
Tl1 Tl 0.000 0.000 0.361 1
Tl2 Tl 0.000 0.288 0.500 1
Tl3 Tl 0.000 0.352 0.000 1
# DFT total energy: -51.21 eV for the cell shown
# density: 6.29 g/cm3
# distance to the lowest polymorph of the same formula: 1.6 kJ per mole of atoms

***

Table of formation energy from the elements (meV per atom), in record order: -303 -245 -121